No. 1
A relaxed AgTeP2 crystal, computed with GGA-PBE.

abc: 4.191 4.255 5.611
angles: 90.00 90.00 90.00
Element x y z (fractional)
Ag  0.000  0.000  0.000
Te  0.500  0.000  0.662
P  0.000  0.500  0.221
P  0.500  0.500  0.388


No. 2
A relaxed AgTeP2 crystal, computed with GGA-PBE.

abc: 5.818 5.818 5.969
angles: 115.98 115.98 31.62
Element x y z (fractional)
Ag  0.000  0.000  0.000
Te  0.000  0.000  0.500
P  0.266  0.266  0.889
P  0.734  0.734  0.111


No. 3
A relaxed AgTe2P crystal, computed with GGA-PBE.

abc: 7.555 7.555 7.555
angles: 30.65 30.65 30.65
Element x y z (fractional)
Ag  0.000  0.000  0.000
Te  0.240  0.240  0.240
Te  0.423  0.423  0.423
P  0.831  0.831  0.831


No. 4
A relaxed AgTeP2 crystal, computed with GGA-PBE.

abc: 4.330 4.330 7.042
angles: 98.52 98.52 43.10
Element x y z (fractional)
Ag  0.000  0.000  0.000
Te  0.754  0.754  0.278
P  0.223  0.223  0.774
P  0.598  0.598  0.596


No. 5
A relaxed AgTeP2 crystal, computed with GGA-PBE.

abc: 6.676 6.676 4.009
angles: 90.00 90.00 90.00
Element x y z (fractional)
Ag  0.000  0.000  0.000
Ag  0.500  0.500  0.000
Te  0.000  0.500  0.391
Te  0.500  0.000  0.609
P  0.217  0.283  0.795
P  0.283  0.783  0.205
P  0.717  0.217  0.205
P  0.783  0.717  0.795


No. 6
A relaxed AgTe2P crystal, computed with GGA-PBE.

abc: 7.031 7.031 4.260
angles: 100.21 100.21 32.88
Element x y z (fractional)
Ag  0.000  0.000  0.000
Te  0.508  0.508  0.490
Te  0.774  0.774  0.728
P  0.315  0.315  0.361


Listing energy relative to the elements, uncorrected for the structures above in their given order: 237.1; 137.4; 162.9; 141.0; 406.7; 137.8 meV per atom.
Listing total moment for the structures above in their given order: 0.0; 0.0; 0.0; 0.0; 0.0; 0.0 Bohr magnetons per cell.